1.
First-principles (PBE-GGA) data for a geometry-optimized LiTcSbHI structure, as listed in Alexandria via LeMat-Bulk.

a b c (Å): 3.411 3.634 7.433
angles (deg): 90.00 90.00 90.00
Space group Pmm2 (No. 25)
Inequivalent atoms, fractional coordinates:
Li (0.000, 0.000, 0.000) [1 per cell]
Tc (0.500, 0.500, 0.221) [1 per cell]
Sb (0.000, 0.000, 0.405) [1 per cell]
H (0.000, 0.500, 0.138) [1 per cell]
I (0.500, 0.500, 0.835) [1 per cell]

Computed properties:
Raw total energy (eV per atom): -4.346
Energy above the most stable polymorph in this dataset (eV/atom): 0.074


2.
First-principles (PBE-GGA) data for a geometry-optimized LiTcSbHI structure, as listed in Alexandria via LeMat-Bulk.

a b c (Å): 4.277 3.390 7.052
angles (deg): 90.00 92.14 90.00
Space group Pm (No. 6)
Inequivalent atoms, fractional coordinates:
Li (0.000, 0.000, 0.000) [1 per cell]
Tc (0.996, 0.500, 0.651) [1 per cell]
Sb (0.489, 0.500, 0.879) [1 per cell]
H (0.876, 0.000, 0.715) [1 per cell]
I (0.234, 0.000, 0.388) [1 per cell]

Computed properties:
Raw total energy (eV per atom): -4.224
Energy above the most stable polymorph in this dataset (eV/atom): 0.196


3.
First-principles (PBE-GGA) data for a geometry-optimized LiTcSbHI structure, as listed in Alexandria via LeMat-Bulk.

a b c (Å): 3.549 3.626 14.473
angles (deg): 90.00 90.00 90.00
Space group Imm2 (No. 44)
Inequivalent atoms, fractional coordinates:
Li (0.000, 0.000, 0.000) [2 per cell]
Tc (0.000, 0.500, 0.257) [2 per cell]
Sb (0.000, 0.500, 0.838) [2 per cell]
H (0.000, 0.500, 0.372) [2 per cell]
I (0.000, 0.000, 0.598) [2 per cell]

Computed properties:
Raw total energy (eV per atom): -4.293
Energy above the most stable polymorph in this dataset (eV/atom): 0.127


4.
First-principles (PBE-GGA) data for a geometry-optimized LiTcSbHI structure, as listed in Alexandria via LeMat-Bulk.

a b c (Å): 3.510 3.510 8.197
angles (deg): 90.00 90.00 90.00
Space group P4mm (No. 99)
Inequivalent atoms, fractional coordinates:
Li (0.000, 0.000, 0.000) [1 per cell]
Tc (0.500, 0.500, 0.797) [1 per cell]
Sb (0.000, 0.000, 0.657) [1 per cell]
H (0.000, 0.000, 0.445) [1 per cell]
I (0.500, 0.500, 0.136) [1 per cell]

Computed properties:
Raw total energy (eV per atom): -4.240
Energy above the most stable polymorph in this dataset (eV/atom): 0.181


Calculated ρ (g cm⁻³), listed in the same order as above: 6.39 5.76 6.32 5.83